Record 1
{"formula": "Mg2AlZn2", "functional": "GGA-PBE", "state": "optimized geometry", "cell": [[-1.995, 1.995, 6.247], [1.995, -1.995, 6.247], [1.995, 1.995, -6.247]], "species": ["Mg", "Mg", "Al", "Zn", "Zn"], "frac_coords": [[0.250, 0.750, 0.500], [0.750, 0.250, 0.500], [0.000, 0.000, 0.000], [0.404, 0.404, 0.000], [0.596, 0.596, 0.000]], "space_group": "I4/mmm (139)", "delta_e_f_ev_per_atom": 0.197, "polymorph_energy_ev_per_fu": 1.204, "dos_ef_per_ev_fu": 1.97}

---

Record 2
{"formula": "LaPrTe2O", "functional": "GGA-PBE", "state": "optimized geometry", "cell": [[4.322, 0.000, 0.000], [0.000, 4.322, 0.000], [0.000, 0.000, 16.306]], "species": ["La", "La", "Pr", "Pr", "Te", "Te", "Te", "Te", "O", "O"], "frac_coords": [[0.250, 0.250, 0.069], [0.750, 0.750, 0.931], [0.250, 0.250, 0.635], [0.750, 0.750, 0.365], [0.250, 0.250, 0.417], [0.250, 0.250, 0.817], [0.750, 0.750, 0.183], [0.750, 0.750, 0.583], [0.250, 0.750, 0.000], [0.750, 0.250, 0.000]], "space_group": "P4/nmm (129)", "e_form_raw_ev_per_atom": -2.14, "dos_ef_per_ev_fu": 1.51}

---

Record 3
{"formula": "BaNd2P2N6", "functional": "GGA-PBE", "state": "optimized geometry", "cell": [[6.019, 0.000, 0.000], [-2.023, 5.719, 0.000], [-2.605, -2.317, 5.764]], "species": ["Ba", "Nd", "Nd", "P", "P", "N", "N", "N", "N", "N", "N"], "frac_coords": [[0.000, 0.000, 0.000], [0.379, 0.290, 0.672], [0.621, 0.710, 0.328], [0.291, 0.746, 0.725], [0.709, 0.254, 0.275], [0.091, 0.863, 0.634], [0.318, 0.640, 0.927], [0.481, 0.729, 0.618], [0.519, 0.271, 0.382], [0.682, 0.360, 0.073], [0.909, 0.137, 0.366]], "space_group": "P-1 (2)", "e_form_raw_ev_per_atom": -0.89, "dos_ef_per_ev_fu": 0.00}

---

Record 4
{"formula": "AcTm2Zn3", "functional": "GGA-PBE", "state": "optimized geometry", "cell": [[3.653, 0.000, 0.000], [0.000, 3.653, 0.000], [0.000, 0.000, 10.924]], "species": ["Ac", "Tm", "Tm", "Zn", "Zn", "Zn"], "frac_coords": [[0.000, 0.000, 0.000], [0.000, 0.000, 0.344], [0.000, 0.000, 0.656], [0.500, 0.500, 0.202], [0.500, 0.500, 0.500], [0.500, 0.500, 0.798]], "space_group": "P4/mmm (123)", "delta_e_f_ev_per_atom": -0.284, "dos_ef_per_ev_fu": 6.19}